DFT (PBE) results for crystalline CsKZr2N at its relaxed geometry.

Cell: 4.5172 6.8208 4.5172 Å, 90.00 90.00 90.00°
Atoms (fractional coordinates):
Zr (0.0000, 0.0000, 0.5000)
Cs (0.5000, 0.5000, 0.5000)
N (0.0000, 0.0000, 0.0000)
Zr (0.5000, 0.0000, 0.0000)
K (0.0000, 0.5000, 0.0000)

Properties
Its formation energy without anion corrections is 1.48 eV per formula unit.


DFT (PBE) results for crystalline CsK12Na4 at its relaxed geometry.

Cell: 11.6826 11.6826 11.6826 Å, 109.47 109.47 109.47°
Atoms (fractional coordinates):
K (0.1641, 0.3400, 0.5041)
K (0.1759, 0.8359, 0.3400)
K (0.4959, 0.8359, 0.6600)
K (0.8241, 0.1641, 0.6600)
Na (0.0000, 0.5000, 0.0000)
Na (0.0000, 0.0000, 0.5000)
Na (0.5000, 0.5000, 0.5000)
K (0.3400, 0.1759, 0.8359)
K (0.3400, 0.5041, 0.1641)
K (0.8359, 0.3400, 0.1759)
Na (0.5000, 0.0000, 0.0000)
Cs (0.0000, 0.0000, 0.0000)
K (0.1641, 0.6600, 0.8241)
K (0.5041, 0.1641, 0.3400)
K (0.8359, 0.6600, 0.4959)
K (0.6600, 0.8241, 0.1641)
K (0.6600, 0.4959, 0.8359)

Properties
The value obtained for the uncorrected energy is -1.04 eV/atom.


DFT (PBE) results for crystalline Cs4K3Na2 at its relaxed geometry.

Cell: 11.8596 11.8596 10.6430 Å, 72.63 72.63 32.06°
Atoms (fractional coordinates):
Na (0.6013, 0.6013, 0.5517)
K (0.0973, 0.0973, 0.8016)
Cs (0.2287, 0.2287, 0.3046)
K (0.0000, 0.0000, 0.5000)
Cs (0.4169, 0.4169, 0.8587)
Cs (0.5831, 0.5831, 0.1413)
K (0.9027, 0.9027, 0.1984)
Cs (0.7713, 0.7713, 0.6954)
Na (0.3987, 0.3987, 0.4483)

Properties
The value obtained for the uncorrected energy is -1.02 eV/atom.


DFT (PBE) results for crystalline CsK3Na4 at its relaxed geometry.

Cell: 7.0922 9.4943 13.6992 Å, 90.00 90.00 90.00°
Atoms (fractional coordinates):
Cs (0.0000, 0.5000, 0.0000)
Cs (0.0000, 0.5000, 0.5000)
Na (0.5000, 0.2238, 0.0000)
Na (0.5000, 0.7762, 0.5000)
Na (0.1084, 0.2187, 0.7500)
Na (0.5000, 0.2238, 0.5000)
K (0.5558, 0.5000, 0.7500)
K (0.0000, 0.0000, 0.5000)
Na (0.5000, 0.7762, 0.0000)
K (0.5914, 0.0000, 0.7500)
Na (0.1084, 0.7813, 0.7500)
K (0.0000, 0.0000, 0.0000)
K (0.4086, 0.0000, 0.2500)
Na (0.8916, 0.7813, 0.2500)
K (0.4442, 0.5000, 0.2500)
Na (0.8916, 0.2187, 0.2500)

Properties
The value obtained for the uncorrected energy is -1.15 eV/atom.


DFT (PBE) results for crystalline Cs3K3Na2 at its relaxed geometry.

Cell: 7.2969 8.8524 20.9129 Å, 90.00 90.00 114.34°
Atoms (fractional coordinates):
Cs (0.6552, 0.3103, 0.0288)
Na (0.7985, 0.5970, 0.6621)
Na (0.7985, 0.5970, 0.8379)
K (0.9576, 0.9153, 0.3970)
Cs (0.6552, 0.3103, 0.4712)
Cs (0.3448, 0.6897, 0.9712)
Na (0.2015, 0.4030, 0.3379)
Cs (0.3448, 0.6897, 0.5288)
Cs (0.4704, 0.9407, 0.2500)
K (0.0424, 0.0847, 0.6030)
K (0.0424, 0.0847, 0.8970)
K (0.2422, 0.4845, 0.7500)
K (0.9576, 0.9153, 0.1030)
K (0.7578, 0.5155, 0.2500)
Na (0.2015, 0.4030, 0.1621)
Cs (0.5296, 0.0593, 0.7500)

Properties
Its polymorph energy (0 for the lowest one) is 5 meV/atom.


DFT (PBE) results for crystalline CsK6Na4 at its relaxed geometry.

Cell: 8.0874 8.0880 12.3537 Å, 100.84 100.64 116.64°
Atoms (fractional coordinates):
K (0.1566, 0.7141, 0.6143)
K (0.7120, 0.1569, 0.6118)
Na (0.7786, 0.2802, 0.2810)
Na (0.2798, 0.7762, 0.2808)
Na (0.2659, 0.2677, 0.7235)
K (0.7940, 0.4519, 0.9737)
Na (0.7268, 0.7299, 0.7295)
K (0.3569, 0.3577, 0.4270)
Cs (0.1639, 0.1625, 0.0481)
K (0.8111, 0.8100, 0.3342)
K (0.4546, 0.7932, 0.9760)

Properties
The value obtained for the uncorrected energy is -1.13 eV/atom.